PrEr2Rh | PBE-GGA | relaxed

Results
- Magnetization: 0.00 μB/f.u.
- Excess energy over the best structure of this formula in the dataset: 51.9 meV per atom
- Crystal system: tetragonal
- Energy: -5.77 eV/atom
- Energy of formation from the pure elements: -452 meV/atom

Unit cell a=3.4798 b=3.4798 c=8.7637 alpha=90.00 beta=90.00 gamma=90.00
Space group P4/mmm (No. 123)
Unique sites:
Pr 0.0000 0.0000 0.0000 [1 per cell]
Er 0.5000 0.5000 0.3156 [2 per cell]
Rh 0.0000 0.0000 0.5000 [1 per cell]


Mg3Ga2Ni6 | PBE-GGA | relaxed

Results
- Magnetization: 0.00 μB/f.u.
- Crystal system: cubic
- Energy: -4.43 eV/atom
- Energy of formation from the pure elements: -295 meV/atom

Unit cell a=8.5686 b=8.5686 c=8.5686 alpha=90.00 beta=90.00 gamma=90.00
Space group Im-3m (No. 229)
Unique sites:
Mg 0.0000 0.0000 0.2888 [12 per cell]
Ga 0.2500 0.2500 0.2500 [8 per cell]
Ni 0.0000 0.3391 0.3391 [24 per cell]


BaZrCSe2 | PBE-GGA | relaxed

Results
- Magnetization: 2.90 μB/f.u.
- Crystal system: tetragonal
- Energy: -4.70 eV/atom

Unit cell a=5.0900 b=5.0900 c=7.1949 alpha=90.00 beta=90.00 gamma=90.00
Space group P4/mmm (No. 123)
Unique sites:
Ba 0.0000 0.0000 0.0000 [1 per cell]
Zr 0.0000 0.0000 0.5000 [1 per cell]
C 0.5000 0.5000 0.0000 [1 per cell]
Se 0.0000 0.5000 0.5000 [2 per cell]


Ce5In2Hg | PBE-GGA | relaxed

Results
- Magnetization: 1.71 μB/f.u.
- Excess energy over the best structure of this formula in the dataset: 110.7 meV per atom
- Crystal system: orthorhombic
- Energy: -4.56 eV/atom
- Energy of formation from the pure elements: -127 meV/atom

Unit cell a=5.3596 b=11.4957 c=14.3016 alpha=90.00 beta=90.00 gamma=90.00
Space group Cmcm (No. 63)
Unique sites:
Ce 0.0000 0.0252 0.2500 [4 per cell]
Ce 0.0000 0.1082 0.5241 [8 per cell]
Ce 0.0000 0.4171 0.5662 [8 per cell]
In 0.0000 0.3086 0.1456 [8 per cell]
Hg 0.0000 0.2689 0.7500 [4 per cell]


LiPu2Si3 | PBE-GGA | relaxed

Results
- Magnetization: 0.15 μB/f.u.
- Crystal system: orthorhombic
- Energy: -8.17 eV/atom

Unit cell a=7.5868 b=8.3372 c=14.4605 alpha=90.00 beta=90.00 gamma=90.00
Space group Fmmm (No. 69)
Unique sites:
Li 0.0000 0.0000 0.1666 [8 per cell]
Pu 0.2497 0.0000 0.0000 [8 per cell]
Pu 0.2500 0.2500 0.2500 [8 per cell]
Si 0.0000 0.0000 0.3349 [8 per cell]
Si 0.0000 0.2460 0.4177 [16 per cell]


Nb3InH | PBE-GGA | relaxed

Results
- Magnetization: 0.00 μB/f.u.
- Crystal system: monoclinic
- Energy: -7.34 eV/atom

Unit cell a=10.5100 b=3.5545 c=4.7655 alpha=90.00 beta=116.94 gamma=90.00
Space group Cm (No. 8)
Unique sites:
Nb 0.0000 0.0000 0.0000 [2 per cell]
Nb 0.0268 0.5000 0.5109 [2 per cell]
Nb 0.2733 0.0000 0.7607 [2 per cell]
In 0.2652 0.5000 0.2563 [2 per cell]
H 0.0780 0.0000 0.6989 [2 per cell]


CdPPb | PBE-GGA | relaxed

Results
- Magnetization: 0.00 μB/f.u.
- Excess energy over the best structure of this formula in the dataset: 188.6 meV per atom
- Crystal system: tetragonal
- Energy: -3.08 eV/atom
- Energy of formation from the pure elements: 269 meV/atom

Unit cell a=3.5526 b=3.5526 c=11.2591 alpha=90.00 beta=90.00 gamma=90.00
Space group I4mm (No. 107)
Unique sites:
Cd 0.0000 0.0000 0.0000 [2 per cell]
P 0.0000 0.0000 0.6211 [2 per cell]
Pb 0.0000 0.0000 0.2855 [2 per cell]


TlAg2Au | PBE-GGA | relaxed

Results
- Magnetization: 0.00 μB/f.u.
- Excess energy over the best structure of this formula in the dataset: 11.3 meV per atom
- Crystal system: monoclinic
- Energy: -2.77 eV/atom
- Energy of formation from the pure elements: 68 meV/atom

Unit cell a=3.0805 b=4.1814 c=6.2746 alpha=90.00 beta=90.29 gamma=90.00
Space group P2/m (No. 10)
Unique sites:
Tl 0.0000 0.0000 0.0000 [1 per cell]
Ag 0.4991 0.5000 0.7272 [2 per cell]
Au 0.0000 0.0000 0.5000 [1 per cell]